Density functional theory data (PBE) for a relaxed structure of NpTiAuO6.

a = 5.4197 Å, b = 5.4197 Å, c = 9.7165 Å
α = 90.00°, β = 90.00°, γ = 120.00°
Closest atoms and distances in Å follow each position.
Space group P-31c (No. 163)
Asymmetric unit:
Np (0.3333, 0.6667, 0.2500) (multiplicity 2)  6 O 2.04
Ti (0.3333, 0.6667, 0.7500) (multiplicity 2)  6 O 1.99
Au (0.0000, 0.0000, 0.0000) (multiplicity 2)  6 O 2.43
O (0.0077, 0.3746, 0.6411) (multiplicity 12)  1 Ti 1.99, 1 Np 2.04

Its volume is 123.6 Å³/f.u. The calculation puts the total moment at 0.05 Bohr magnetons per cell. The raw total energy is -8.07 eV/atom. The formation energy (no corrections) comes out at -2.0841 eV per atom.

Density functional theory data (PBE) for a relaxed structure of K2RbIn2.

a = 14.2586 Å, b = 5.1497 Å, c = 7.0993 Å
α = 90.00°, β = 103.64°, γ = 90.00°
Closest atoms and distances in Å follow each position.
Space group C2/m (No. 12)
Asymmetric unit:
K (0.1501, 0.0000, 0.0565) (multiplicity 4)  4 In 3.65-3.82, 2 K 4.06
Rb (0.0000, 0.5000, 0.5000) (multiplicity 2)  6 In 3.98-4.14
In (0.2335, 0.0000, 0.5832) (multiplicity 4)  2 In 2.92

As for the energy above the lowest structure with this stoichiometry: 0.0 kJ per mole of atoms. Its volume is 253.3 Å³/f.u. The calculation puts the total moment at 0.00 Bohr magnetons per cell. The raw total energy is -1.77 eV/atom. For the energy of formation from the pure elements, the calculation gives -4.5 kJ per mole of atoms.

Density functional theory data (PBE) for a relaxed structure of Nd2Ho2Th.

a = 4.5980 Å, b = 4.5980 Å, c = 16.3040 Å
α = 90.00°, β = 90.00°, γ = 90.00°
Closest atoms and distances in Å follow each position.
Space group I4/mmm (No. 139)
Asymmetric unit:
Nd (0.0000, 0.5000, 0.2500) (multiplicity 4)  4 Nd 3.25, 4 Ho 3.44
Ho (0.0000, 0.0000, 0.0929) (multiplicity 4)  1 Ho 3.03
Th (0.0000, 0.0000, 0.5000) (multiplicity 2)  8 Ho 3.59

As for the energy above the lowest structure with this stoichiometry: 39.2 kJ per mole of atoms. Its volume is 172.3 Å³/f.u. The calculation puts the total moment at 0.00 Bohr magnetons per cell. The raw total energy is -4.80 eV/atom. For the energy of formation from the pure elements, the calculation gives 40.6 kJ per mole of atoms.

Density functional theory data (PBE) for a relaxed structure of SrTl2Cu.

a = 4.6085 Å, b = 5.4199 Å, c = 8.9498 Å
α = 90.00°, β = 90.00°, γ = 90.00°
Closest atoms and distances in Å follow each position.
Space group Imm2 (No. 44)
Asymmetric unit:
Sr (0.0000, 0.0000, 0.0000) (multiplicity 2)  4 Cu 3.32-3.42, 8 Tl 3.33-3.60
Tl (0.0000, 0.0000, 0.5587) (multiplicity 2)  2 Cu 2.78
Tl (0.0000, 0.5000, 0.7831) (multiplicity 2)  4 Sr 3.33-3.42, 4 Tl 3.37-3.38, 4 Cu 3.59
Cu (0.0000, 0.5000, 0.2330) (multiplicity 2)  2 Tl 2.78

Its volume is 111.8 Å³/f.u. The calculation puts the total moment at 0.00 Bohr magnetons per cell. The raw total energy is -2.66 eV/atom. For the energy of formation from the pure elements, the calculation gives -3.0 kJ per mole of atoms.

Density functional theory data (PBE) for a relaxed structure of La6SnHg5.

a = 5.5441 Å, b = 7.8194 Å, c = 16.6642 Å
α = 90.00°, β = 90.00°, γ = 90.00°
Closest atoms and distances in Å follow each position.
Space group Immm (No. 71)
Asymmetric unit:
La (0.0000, 0.2468, 0.0000) (multiplicity 4)  2 Sn 3.38, 6 Hg 3.41-3.47
La (0.0000, 0.2520, 0.3346) (multiplicity 8)  7 Hg 3.34-3.40, 1 Sn 3.37
Sn (0.0000, 0.5000, 0.5000) (multiplicity 2)  8 La 3.37-3.38
Hg (0.0000, 0.0000, 0.1728) (multiplicity 4)  8 La 3.34-3.47
Hg (0.0000, 0.0000, 0.5000) (multiplicity 2)  8 La 3.39-3.41
Hg (0.0000, 0.5000, 0.1668) (multiplicity 4)  8 La 3.40-3.41

Its volume is 361.2 Å³/f.u. The calculation puts the total moment at 4.45 Bohr magnetons per cell. The raw total energy is -3.47 eV/atom. For the energy of formation from the pure elements, the calculation gives -53.1 kJ per mole of atoms.

Density functional theory data (PBE) for a relaxed structure of Sm2CdRu.

a = 7.2625 Å, b = 7.2625 Å, c = 7.2625 Å
α = 90.00°, β = 90.00°, γ = 90.00°
Closest atoms and distances in Å follow each position.
Space group Fm-3m (No. 225)
Asymmetric unit:
Sm (0.2500, 0.2500, 0.2500) (multiplicity 8)  4 Cd 3.14, 4 Ru 3.14
Cd (0.0000, 0.0000, 0.0000) (multiplicity 4)  8 Sm 3.14
Ru (0.0000, 0.0000, 0.5000) (multiplicity 4)  8 Sm 3.14

As for the energy above the lowest structure with this stoichiometry: 8.6 kJ per mole of atoms. Its volume is 95.8 Å³/f.u. The calculation puts the total moment at 0.00 Bohr magnetons per cell. The raw total energy is -5.12 eV/atom. For the energy of formation from the pure elements, the calculation gives -20.3 kJ per mole of atoms.

Density functional theory data (PBE) for a relaxed structure of TlSeO2F.

a = 3.9519 Å, b = 3.9519 Å, c = 4.7646 Å
α = 90.00°, β = 90.00°, γ = 90.00°
Closest atoms and distances in Å follow each position.
Space group P4/mmm (No. 123)
Asymmetric unit:
Tl (0.0000, 0.0000, 0.0000) (multiplicity 1)  4 F 2.79, 8 O 3.10
Se (0.5000, 0.5000, 0.5000) (multiplicity 1)  4 O 1.98
O (0.0000, 0.5000, 0.5000) (multiplicity 2)  2 Se 1.98
F (0.5000, 0.5000, 0.0000) (multiplicity 1)  2 Se 2.38

Its volume is 74.4 Å³/f.u. The calculation puts the total moment at 0.00 Bohr magnetons per cell. The raw total energy is -4.27 eV/atom. The formation energy (no corrections) comes out at -0.7456 eV per atom.

Density functional theory data (PBE) for a relaxed structure of BaLiEuRh.

a = 7.5851 Å, b = 7.5851 Å, c = 7.5851 Å
α = 90.00°, β = 90.00°, γ = 90.00°
Closest atoms and distances in Å follow each position.
Space group F-43m (No. 216)
Asymmetric unit:
Ba (0.0000, 0.0000, 0.0000) (multiplicity 4)  4 Li 3.28, 4 Rh 3.28
Li (0.2500, 0.2500, 0.7500) (multiplicity 4)  4 Ba 3.28, 4 Eu 3.28
Eu (0.0000, 0.0000, 0.5000) (multiplicity 4)  4 Rh 3.28, 4 Li 3.28
Rh (0.2500, 0.2500, 0.2500) (multiplicity 4)  4 Ba 3.28, 4 Eu 3.28

Its volume is 109.1 Å³/f.u. The calculation puts the total moment at 28.24 Bohr magnetons per cell. The raw total energy is -5.44 eV/atom. For the energy of formation from the pure elements, the calculation gives -6.8 kJ per mole of atoms.

Density functional theory data (PBE) for a relaxed structure of SrCuSb2Te.

a = 5.1212 Å, b = 5.1212 Å, c = 5.5866 Å
α = 90.00°, β = 90.00°, γ = 90.00°
Closest atoms and distances in Å follow each position.
Space group P4/mmm (No. 123)
Asymmetric unit:
Sr (0.0000, 0.0000, 0.0000) (multiplicity 1)  4 Te 3.62, 8 Sb 3.79
Cu (0.5000, 0.5000, 0.5000) (multiplicity 1)  4 Sb 2.56, 2 Te 2.79
Sb (0.0000, 0.5000, 0.5000) (multiplicity 2)  2 Cu 2.56
Te (0.5000, 0.5000, 0.0000) (multiplicity 1)  2 Cu 2.79

As for the energy above the lowest structure with this stoichiometry: 0.0 kJ per mole of atoms. Its volume is 146.5 Å³/f.u. The calculation puts the total moment at 0.00 Bohr magnetons per cell. The raw total energy is -3.65 eV/atom. The formation energy (no corrections) comes out at -0.2200 eV per atom.

Density functional theory data (PBE) for a relaxed structure of NaBi2Au2.

a = 8.7474 Å, b = 8.7474 Å, c = 3.4167 Å
α = 90.00°, β = 90.00°, γ = 90.00°
Closest atoms and distances in Å follow each position.
Space group P4/mbm (No. 127)
Asymmetric unit:
Na (0.0000, 0.0000, 0.0000) (multiplicity 2)  4 Bi 3.38, 2 Na 3.42, 8 Au 3.70
Bi (0.1398, 0.3602, 0.0000) (multiplicity 4)  6 Au 2.99-3.15
Au (0.1624, 0.6624, 0.5000) (multiplicity 4)  6 Bi 2.99-3.15

As for the energy above the lowest structure with this stoichiometry: 10.5 kJ per mole of atoms. Its volume is 130.7 Å³/f.u. The calculation puts the total moment at 0.00 Bohr magnetons per cell. The raw total energy is -3.20 eV/atom. For the energy of formation from the pure elements, the calculation gives -6.8 kJ per mole of atoms.

Density functional theory data (PBE) for a relaxed structure of AgSe2BrN.

a = 5.4520 Å, b = 5.4520 Å, c = 3.6610 Å
α = 90.00°, β = 90.00°, γ = 90.00°
Closest atoms and distances in Å follow each position.
Space group P4/mmm (No. 123)
Asymmetric unit:
Ag (0.0000, 0.0000, 0.0000) (multiplicity 1)  8 Se 3.28, 2 Ag 3.66
Se (0.0000, 0.5000, 0.5000) (multiplicity 2)  2 Br 2.73
Br (0.5000, 0.5000, 0.5000) (multiplicity 1)  2 N 1.83
N (0.5000, 0.5000, 0.0000) (multiplicity 1)  2 Br 1.83

As for the energy above the lowest structure with this stoichiometry: 69.9 kJ per mole of atoms. Its volume is 108.8 Å³/f.u. The calculation puts the total moment at 0.00 Bohr magnetons per cell. The raw total energy is -2.52 eV/atom. The formation energy (no corrections) comes out at 1.4404 eV per atom.

Density functional theory data (PBE) for a relaxed structure of Y3Cd2Ga.

a = 5.2170 Å, b = 5.2170 Å, c = 6.4164 Å
α = 90.00°, β = 90.00°, γ = 120.00°
Closest atoms and distances in Å follow each position.
Space group P-3m1 (No. 164)
Asymmetric unit:
Y (0.0000, 0.0000, 0.0000) (multiplicity 1)  6 Cd 3.16, 2 Ga 3.21
Y (0.3333, 0.6667, 0.6526) (multiplicity 2)  3 Ga 3.17, 5 Cd 3.18-3.27
Cd (0.3333, 0.6667, 0.1483) (multiplicity 2)  8 Y 3.16-3.27
Ga (0.0000, 0.0000, 0.5000) (multiplicity 1)  8 Y 3.17-3.21

As for the energy above the lowest structure with this stoichiometry: 0.4 kJ per mole of atoms. Its volume is 151.2 Å³/f.u. The calculation puts the total moment at 0.00 Bohr magnetons per cell. The raw total energy is -4.47 eV/atom. For the energy of formation from the pure elements, the calculation gives -41.7 kJ per mole of atoms.

Density functional theory data (PBE) for a relaxed structure of AcGa4Os.

a = 4.7698 Å, b = 4.7698 Å, c = 7.1486 Å
α = 90.00°, β = 90.00°, γ = 90.00°
Closest atoms and distances in Å follow each position.
Space group P4/mmm (No. 123)
Asymmetric unit:
Ac (0.0000, 0.0000, 0.0000) (multiplicity 1)  8 Ga 3.57
Ga (0.0000, 0.5000, 0.5000) (multiplicity 2)  2 Os 2.38
Ga (0.5000, 0.5000, 0.1617) (multiplicity 2)  1 Ga 2.31, 1 Os 2.42
Os (0.5000, 0.5000, 0.5000) (multiplicity 1)  6 Ga 2.38-2.42

Its volume is 162.6 Å³/f.u. The calculation puts the total moment at 0.00 Bohr magnetons per cell. The raw total energy is -4.63 eV/atom. For the energy of formation from the pure elements, the calculation gives -5.3 kJ per mole of atoms.

Density functional theory data (PBE) for a relaxed structure of NdTm4Pb5.

a = 3.5342 Å, b = 3.5342 Å, c = 22.3624 Å
α = 90.00°, β = 90.00°, γ = 90.00°
Closest atoms and distances in Å follow each position.
Space group P4/mmm (No. 123)
Asymmetric unit:
Nd (0.0000, 0.0000, 0.0000) (multiplicity 1)  8 Pb 3.45, 4 Nd 3.53
Tm (0.0000, 0.0000, 0.2033) (multiplicity 2)  8 Pb 3.31-3.34, 4 Tm 3.53
Tm (0.0000, 0.0000, 0.4013) (multiplicity 2)  8 Pb 3.33-3.34, 4 Tm 3.53
Pb (0.5000, 0.5000, 0.1061) (multiplicity 2)  4 Tm 3.31, 4 Nd 3.45, 4 Pb 3.53
Pb (0.5000, 0.5000, 0.3025) (multiplicity 2)  8 Tm 3.34, 4 Pb 3.53
Pb (0.5000, 0.5000, 0.5000) (multiplicity 1)  8 Tm 3.33, 4 Pb 3.53

As for the energy above the lowest structure with this stoichiometry: 0.0 kJ per mole of atoms. Its volume is 279.3 Å³/f.u. The calculation puts the total moment at 0.00 Bohr magnetons per cell. The raw total energy is -4.52 eV/atom. For the energy of formation from the pure elements, the calculation gives -38.5 kJ per mole of atoms.

Density functional theory data (PBE) for a relaxed structure of Pm3Sc.

a = 5.0195 Å, b = 5.0195 Å, c = 5.0195 Å
α = 90.00°, β = 90.00°, γ = 90.00°
Closest atoms and distances in Å follow each position.
Space group Pm-3m (No. 221)
Asymmetric unit:
Pm (0.0000, 0.0000, 0.5000) (multiplicity 3)  8 Pm 3.55, 4 Sc 3.55
Sc (0.5000, 0.5000, 0.5000) (multiplicity 1)  12 Pm 3.55

As for the energy above the lowest structure with this stoichiometry: 0.0 kJ per mole of atoms. Its volume is 126.5 Å³/f.u. The calculation puts the total moment at 0.00 Bohr magnetons per cell. The raw total energy is -5.11 eV/atom. For the energy of formation from the pure elements, the calculation gives 3.6 kJ per mole of atoms.

Density functional theory data (PBE) for a relaxed structure of RbS.

a = 4.6258 Å, b = 5.1762 Å, c = 6.2624 Å
α = 79.00°, β = 68.49°, γ = 89.47°
Closest atoms and distances in Å follow each position.
Space group P-1 (No. 2)
Asymmetric unit:
Rb (0.1299, 0.2403, 0.2451) (multiplicity 2)  5 S 3.31-3.42, 1 Rb 3.47
S (0.4269, 0.3418, 0.6496) (multiplicity 2)  1 S 2.14

Its volume is 68.3 Å³/f.u. The calculation puts the total moment at 0.00 Bohr magnetons per cell. The raw total energy is -3.42 eV/atom. The formation energy (no corrections) comes out at -0.8749 eV per atom.

Density functional theory data (PBE) for a relaxed structure of FeTe4Au.

a = 8.8293 Å, b = 8.8293 Å, c = 8.8293 Å
α = 90.00°, β = 90.00°, γ = 90.00°
Closest atoms and distances in Å follow each position.
Space group F-43m (No. 216)
Asymmetric unit:
Fe (0.0000, 0.0000, 0.0000) (multiplicity 4)  12 Te 3.66, 4 Au 3.82
Te (0.1244, 0.1244, 0.6244) (multiplicity 16)  6 Te 3.11-3.14
Au (0.2500, 0.2500, 0.2500) (multiplicity 4)  12 Te 3.66, 4 Fe 3.82

As for the energy above the lowest structure with this stoichiometry: 97.8 kJ per mole of atoms. Its volume is 172.1 Å³/f.u. The calculation puts the total moment at 15.59 Bohr magnetons per cell. The raw total energy is -3.10 eV/atom. The formation energy (no corrections) comes out at 0.9556 eV per atom.

Density functional theory data (PBE) for a relaxed structure of Sr2Mg6CdAg.

a = 7.4881 Å, b = 7.5176 Å, c = 10.6415 Å
α = 90.00°, β = 90.00°, γ = 90.00°
Closest atoms and distances in Å follow each position.
Space group Immm (No. 71)
Asymmetric unit:
Sr (0.0000, 0.0000, 0.2499) (multiplicity 4)  12 Mg 3.74-3.76
Mg (0.0000, 0.5000, 0.2447) (multiplicity 4)  1 Ag 2.60, 1 Cd 2.72
Mg (0.2446, 0.2552, 0.0000) (multiplicity 8)  1 Ag 2.60, 1 Cd 2.71
Cd (0.0000, 0.5000, 0.5000) (multiplicity 2)  6 Mg 2.71-2.72
Ag (0.0000, 0.5000, 0.0000) (multiplicity 2)  6 Mg 2.60

Its volume is 299.5 Å³/f.u. The calculation puts the total moment at 0.00 Bohr magnetons per cell. The raw total energy is -1.67 eV/atom. For the energy of formation from the pure elements, the calculation gives 0.4 kJ per mole of atoms.

Density functional theory data (PBE) for a relaxed structure of CuPt2Rh.

a = 6.1751 Å, b = 6.1751 Å, c = 6.1751 Å
α = 90.00°, β = 90.00°, γ = 90.00°
Closest atoms and distances in Å follow each position.
Space group Fm-3m (No. 225)
Asymmetric unit:
Cu (0.0000, 0.0000, 0.0000) (multiplicity 4)  8 Pt 2.67
Pt (0.2500, 0.2500, 0.2500) (multiplicity 8)  4 Rh 2.67, 4 Cu 2.67
Rh (0.0000, 0.0000, 0.5000) (multiplicity 4)  8 Pt 2.67

Its volume is 58.9 Å³/f.u. The calculation puts the total moment at 0.00 Bohr magnetons per cell. The raw total energy is -5.80 eV/atom. For the energy of formation from the pure elements, the calculation gives 8.4 kJ per mole of atoms.

Density functional theory data (PBE) for a relaxed structure of Cs2NaSe2O6.

a = 11.1793 Å, b = 6.4240 Å, c = 8.2525 Å
α = 90.00°, β = 119.66°, γ = 90.00°
Closest atoms and distances in Å follow each position.
Space group C2/m (No. 12)
Asymmetric unit:
Cs (0.2468, 0.0000, 0.2702) (multiplicity 4)  9 O 3.21-3.50
Na (0.0000, 0.0000, 0.5000) (multiplicity 2)  6 O 2.54-2.55
Se (0.0627, 0.5000, 0.2224) (multiplicity 4)  3 O 1.70-1.71
O (0.0155, 0.2852, 0.2987) (multiplicity 8)  1 Se 1.71
O (0.2378, 0.5000, 0.3259) (multiplicity 4)  1 Se 1.70

Its volume is 257.5 Å³/f.u. The calculation puts the total moment at 1.57 Bohr magnetons per cell. The raw total energy is -4.86 eV/atom. The formation energy (no corrections) comes out at -1.2481 eV per atom.